Record 1
8
Lattice="7.539 0.000 0.000 0.000 7.539 0.000 3.770 3.770 2.728" Properties=species:S:1:pos:R:3 comment="InMoW2 | Alexandria via LeMat-Bulk | GGA-PBE | optimized geometry" volume_a3_per_cell=155 formation_energy_ev_per_atom=1.0832 space_group=I-42d pbc="T T T"
Mo 3.770 3.770 0.000
Mo 3.770 7.539 1.364
W 5.295 1.885 0.682
W 2.245 5.655 0.682
W 5.655 6.014 2.046
W 9.424 9.065 2.046
In 0.000 0.000 0.000
In 7.539 3.770 1.364

---

Record 2
8
Lattice="-2.080 3.510 -1.282 -2.136 -0.014 -3.705 -8.622 -1.588 2.509" Properties=species:S:1:pos:R:3 comment="Li2AcSiPd4 | Alexandria via LeMat-Bulk | GGA-PBE | optimized geometry" volume_a3_per_cell=139 space_group=R-3m e_tot_ev_per_atom=-4.91 pbc="T T T"
Li -9.277 1.565 -2.062
Li -3.561 0.343 -0.416
Ac 0.000 0.000 0.000
Si -6.419 0.954 -1.239
Pd -8.438 0.184 -0.072
Pd -7.181 2.365 -3.274
Pd -5.658 -0.457 0.795
Pd -4.401 1.724 -2.406

---

Record 3
4
Lattice="-2.669 4.323 -0.620 -5.116 -0.114 0.104 -2.525 2.039 3.958" Properties=species:S:1:pos:R:3 comment="NdCdInAu | Alexandria via LeMat-Bulk | GGA-PBE | optimized geometry" volume_a3_per_cell=95 formation_energy_ev_per_atom=-0.4971 space_group=F-43m pbc="T T T"
Nd 0.000 0.000 0.000
Cd -7.733 4.686 2.582
Au -2.578 1.562 0.861
In -5.156 3.124 1.721